(P)
The following is a PBE calculation of a geometry-optimized Hf3TeW structure, from Alexandria.

Geometry as POSCAR:
```
Hf3TeW
1.0
5.094 0.000 0.000
0.000 5.094 0.000
0.000 0.000 5.094
Hf Te W
3 1 1
direct
0.000 0.000 0.500 Hf
0.000 0.500 0.000 Hf
0.500 0.000 0.000 Hf
0.500 0.500 0.500 Te
0.000 0.000 0.000 W
```

- symmetry = Pm-3m
- DOS at the Fermi energy (states/eV per atom) = 1.8815
- size of the total moment (μB per formula unit) = 0.00

(Q)
The following is a PBE calculation of a geometry-optimized Hf3TeW structure, from Alexandria.

Geometry as POSCAR:
```
Hf3TeW
1.0
5.090 0.000 0.000
0.000 5.090 0.000
0.000 0.000 5.090
Hf Te W
3 1 1
direct
0.000 0.000 0.500 Hf
0.000 0.500 0.000 Hf
0.500 0.000 0.000 Hf
0.000 0.000 0.000 Te
0.500 0.500 0.500 W
```

- symmetry = Pm-3m
- DOS at the Fermi energy (states/eV per atom) = 1.1156
- size of the total moment (μB per formula unit) = 1.84

Of them, (Q) has the lowest stability.

(P)
The following is a PBE calculation of a geometry-optimized HfTeW3 structure, from Alexandria.

Geometry as POSCAR:
```
HfTeW3
1.0
4.879 0.000 0.000
0.000 4.879 0.000
0.000 0.000 4.879
Hf Te W
1 1 3
direct
0.000 0.000 0.000 Hf
0.500 0.500 0.500 Te
0.000 0.000 0.500 W
0.000 0.500 0.000 W
0.500 0.000 0.000 W
```

- symmetry = Pm-3m
- DOS at the Fermi energy (states/eV per atom) = 1.1727
- size of the total moment (μB per formula unit) = 0.00

(Q)
The following is a PBE calculation of a geometry-optimized HfTeW3 structure, from Alexandria.

Geometry as POSCAR:
```
HfTeW3
1.0
4.846 0.000 0.000
0.000 4.846 0.000
0.000 0.000 4.846
Hf Te W
1 1 3
direct
0.000 0.000 0.000 Hf
0.500 0.500 0.500 Te
0.000 0.500 0.500 W
0.500 0.000 0.500 W
0.500 0.500 0.000 W
```

- symmetry = Pm-3m
- DOS at the Fermi energy (states/eV per atom) = 2.3109
- size of the total moment (μB per formula unit) = 0.00

Of them, (P) has the lowest stability.

(P)
The following is a PBE calculation of a geometry-optimized HfTe2W structure, from Alexandria.

Geometry as POSCAR:
```
HfTe2W
1.0
1.680 0.970 9.636
-1.680 0.970 9.636
0.000 -1.940 9.636
Hf Te W
1 2 1
direct
0.000 0.000 0.000 Hf
0.100 0.100 0.100 Te
0.900 0.900 0.900 Te
0.500 0.500 0.500 W
```

- symmetry = R-3m
- DOS at the Fermi energy (states/eV per atom) = 1.0593
- size of the total moment (μB per formula unit) = 0.00

(Q)
The following is a PBE calculation of a geometry-optimized HfTe2W structure, from Alexandria.

Geometry as POSCAR:
```
HfTe2W
1.0
-2.311 2.311 9.101
2.311 -2.311 9.101
2.311 2.311 -9.101
Hf Te W
2 4 2
direct
0.000 0.000 0.000 Hf
0.750 0.250 0.500 Hf
0.144 0.625 0.019 Te
0.375 0.394 0.519 Te
0.606 0.125 0.981 Te
0.875 0.856 0.481 Te
0.250 0.750 0.500 W
0.500 0.500 0.000 W
```

- symmetry = I-42d
- DOS at the Fermi energy (states/eV per atom) = 1.2169
- size of the total moment (μB per formula unit) = 0.00

Of them, (Q) has the lowest stability.

(P)
The following is a PBE calculation of a geometry-optimized YHfTe3 structure, from Alexandria.

Geometry as POSCAR:
```
YHfTe3
1.0
5.513 0.000 0.000
0.000 9.646 2.889
0.000 -9.646 2.889
Y Hf Te
2 2 6
direct
0.250 0.151 0.849 Y
0.750 0.849 0.151 Y
0.250 0.370 0.500 Hf
0.750 0.500 0.370 Hf
0.250 0.045 0.469 Te
0.250 0.571 0.395 Te
0.250 0.872 0.992 Te
0.750 0.395 0.571 Te
0.750 0.469 0.045 Te
0.750 0.992 0.872 Te
```

- symmetry = Ama2
- DOS at the Fermi energy (states/eV per atom) = 0.3416
- size of the total moment (μB per formula unit) = 0.00

(Q)
The following is a PBE calculation of a geometry-optimized YHfTe3 structure, from Alexandria.

Geometry as POSCAR:
```
YHfTe3
1.0
5.517 0.000 0.000
0.000 5.517 0.000
0.000 0.000 5.517
Y Hf Te
1 1 3
direct
0.000 0.000 0.000 Y
0.500 0.500 0.500 Hf
0.000 0.500 0.500 Te
0.500 0.000 0.500 Te
0.500 0.500 0.000 Te
```

- symmetry = Pm-3m
- DOS at the Fermi energy (states/eV per atom) = 0.8137
- size of the total moment (μB per formula unit) = 0.00

Of them, (Q) has the lowest stability.

(P)
The following is a PBE calculation of a geometry-optimized Y2Hf2Te structure, from Alexandria.

Geometry as POSCAR:
```
Y2Hf2Te
1.0
7.817 0.000 0.000
0.000 7.817 0.000
0.000 0.000 4.577
Y Hf Te
4 4 2
direct
0.152 0.348 0.000 Y
0.348 0.848 0.000 Y
0.652 0.152 0.000 Y
0.848 0.652 0.000 Y
0.137 0.637 0.500 Hf
0.363 0.137 0.500 Hf
0.637 0.863 0.500 Hf
0.863 0.363 0.500 Hf
0.000 0.000 0.000 Te
0.500 0.500 0.000 Te
```

- symmetry = P4/mbm
- DOS at the Fermi energy (states/eV per atom) = 1.0224
- size of the total moment (μB per formula unit) = 0.00

(Q)
The following is a PBE calculation of a geometry-optimized Y2Hf2Te structure, from Alexandria.

Geometry as POSCAR:
```
Y2Hf2Te
1.0
-1.963 1.963 9.345
1.963 -1.963 9.345
1.963 1.963 -9.345
Y Hf Te
2 2 1
direct
0.101 0.101 0.000 Y
0.899 0.899 0.000 Y
0.250 0.750 0.500 Hf
0.750 0.250 0.500 Hf
0.500 0.500 0.000 Te
```

- symmetry = I4/mmm
- DOS at the Fermi energy (states/eV per atom) = 1.0492
- size of the total moment (μB per formula unit) = 0.00

Of them, (P) has the lowest stability.

(P)
The following is a PBE calculation of a geometry-optimized HfZrTe2 structure, from Alexandria.

Geometry as POSCAR:
```
HfZrTe2
1.0
3.550 0.000 0.000
0.000 3.550 0.000
0.000 0.000 7.103
Hf Zr Te
1 1 2
direct
0.000 0.000 0.000 Hf
0.000 0.000 0.500 Zr
0.500 0.500 0.249 Te
0.500 0.500 0.751 Te
```

- symmetry = P4/mmm
- DOS at the Fermi energy (states/eV per atom) = 0.3581
- size of the total moment (μB per formula unit) = 0.00

(Q)
The following is a PBE calculation of a geometry-optimized HfZrTe2 structure, from Alexandria.

Geometry as POSCAR:
```
HfZrTe2
1.0
-3.284 3.284 6.355
3.284 -3.284 6.355
3.284 3.284 -6.355
Hf Zr Te
2 2 4
direct
0.000 0.000 0.000 Hf
0.750 0.250 0.500 Hf
0.250 0.750 0.500 Zr
0.500 0.500 0.000 Zr
0.117 0.625 0.992 Te
0.375 0.367 0.492 Te
0.633 0.125 0.008 Te
0.875 0.883 0.508 Te
```

- symmetry = I-42d
- DOS at the Fermi energy (states/eV per atom) = 1.4665
- size of the total moment (μB per formula unit) = 1.25

(R)
The following is a PBE calculation of a geometry-optimized HfZrTe2 structure, from Alexandria.

Geometry as POSCAR:
```
HfZrTe2
1.0
1.804 1.042 9.720
-1.804 1.042 9.720
0.000 -2.083 9.720
Hf Zr Te
1 1 2
direct
0.000 0.000 0.000 Hf
0.500 0.500 0.500 Zr
0.098 0.098 0.098 Te
0.902 0.902 0.902 Te
```

- symmetry = R-3m
- DOS at the Fermi energy (states/eV per atom) = 1.3190
- size of the total moment (μB per formula unit) = 0.41

Of them, (Q) has the lowest stability.

(P)
The following is a PBE calculation of a geometry-optimized HfZr2Te4 structure, from Alexandria.

Geometry as POSCAR:
```
HfZr2Te4
1.0
4.014 -6.815 0.000
4.014 6.815 0.000
-3.904 0.000 7.141
Hf Zr Te
2 4 8
direct
0.124 0.876 0.500 Hf
0.876 0.124 0.000 Hf
0.142 0.899 0.072 Zr
0.441 0.706 0.593 Zr
0.706 0.441 0.093 Zr
0.899 0.142 0.572 Zr
0.102 0.618 0.718 Te
0.152 0.598 0.211 Te
0.187 0.218 0.382 Te
0.218 0.187 0.882 Te
0.598 0.152 0.711 Te
0.618 0.102 0.218 Te
0.684 0.686 0.390 Te
0.686 0.684 0.890 Te
```

- symmetry = Cc
- DOS at the Fermi energy (states/eV per atom) = 0.8396
- size of the total moment (μB per formula unit) = 0.00

(Q)
The following is a PBE calculation of a geometry-optimized HfZr2Te4 structure, from Alexandria.

Geometry as POSCAR:
```
HfZr2Te4
1.0
7.586 -1.951 0.000
7.586 1.951 0.000
-3.517 0.000 6.452
Hf Zr Te
1 2 4
direct
0.000 0.000 0.000 Hf
0.250 0.250 0.307 Zr
0.750 0.750 0.693 Zr
0.100 0.100 0.443 Te
0.365 0.365 0.040 Te
0.635 0.635 0.960 Te
0.900 0.900 0.557 Te
```

- symmetry = C2/m
- DOS at the Fermi energy (states/eV per atom) = 0.4588
- size of the total moment (μB per formula unit) = 0.00

Of them, (P) has the lowest stability.

(P)
The following is a PBE calculation of a geometry-optimized HfZr3Te structure, from Alexandria.

Geometry as POSCAR:
```
HfZr3Te
1.0
5.223 0.000 0.000
0.000 5.223 0.000
0.000 0.000 5.223
Hf Zr Te
1 3 1
direct
0.000 0.000 0.000 Hf
0.000 0.500 0.500 Zr
0.500 0.000 0.500 Zr
0.500 0.500 0.000 Zr
0.500 0.500 0.500 Te
```

- symmetry = Pm-3m
- DOS at the Fermi energy (states/eV per atom) = 0.8521
- size of the total moment (μB per formula unit) = 0.00

(Q)
The following is a PBE calculation of a geometry-optimized HfZr3Te structure, from Alexandria.

Geometry as POSCAR:
```
HfZr3Te
1.0
5.200 0.000 0.000
0.000 5.200 0.000
0.000 0.000 5.200
Hf Zr Te
1 3 1
direct
0.000 0.000 0.000 Hf
0.000 0.000 0.500 Zr
0.000 0.500 0.000 Zr
0.500 0.000 0.000 Zr
0.500 0.500 0.500 Te
```

- symmetry = Pm-3m
- DOS at the Fermi energy (states/eV per atom) = 1.6382
- size of the total moment (μB per formula unit) = 1.49

(R)
The following is a PBE calculation of a geometry-optimized HfZr3Te structure, from Alexandria.

Geometry as POSCAR:
```
HfZr3Te
1.0
5.560 -2.610 0.000
5.560 2.610 0.000
-3.102 0.000 7.912
Hf Zr Te
2 6 2
direct
0.049 0.049 0.349 Hf
0.951 0.951 0.651 Hf
0.144 0.144 0.026 Zr
0.256 0.256 0.745 Zr
0.336 0.336 0.444 Zr
0.664 0.664 0.556 Zr
0.744 0.744 0.255 Zr
0.856 0.856 0.974 Zr
0.438 0.438 0.170 Te
0.562 0.562 0.830 Te
```

- symmetry = C2/m
- DOS at the Fermi energy (states/eV per atom) = 1.1809
- size of the total moment (μB per formula unit) = 0.00

Of them, (Q) has the lowest stability.

(P)
The following is a PBE calculation of a geometry-optimized Hf2ZrTe6 structure, from Alexandria.

Geometry as POSCAR:
```
Hf2ZrTe6
1.0
6.731 0.000 0.000
0.000 7.294 0.000
-6.694 0.000 10.817
Hf Zr Te
4 2 12
direct
0.175 0.129 0.240 Hf
0.175 0.371 0.740 Hf
0.825 0.629 0.260 Hf
0.825 0.871 0.760 Hf
0.500 0.000 0.000 Zr
0.500 0.500 0.500 Zr
0.070 0.191 0.916 Te
0.070 0.309 0.416 Te
0.241 0.658 0.920 Te
0.241 0.842 0.420 Te
0.425 0.044 0.753 Te
0.425 0.456 0.253 Te
0.575 0.544 0.747 Te
0.575 0.956 0.247 Te
0.759 0.158 0.580 Te
0.759 0.342 0.080 Te
0.930 0.691 0.584 Te
0.930 0.809 0.084 Te
```

- symmetry = P2_1/c
- DOS at the Fermi energy (states/eV per atom) = 0.1935
- size of the total moment (μB per formula unit) = 0.00

(Q)
The following is a PBE calculation of a geometry-optimized Hf2ZrTe6 structure, from Alexandria.

Geometry as POSCAR:
```
Hf2ZrTe6
1.0
6.874 0.000 0.000
-3.437 5.953 0.000
0.000 0.000 7.070
Hf Zr Te
2 1 6
direct
0.333 0.667 0.000 Hf
0.667 0.333 0.000 Hf
0.000 0.000 0.000 Zr
0.000 0.336 0.252 Te
0.000 0.664 0.748 Te
0.336 0.000 0.252 Te
0.336 0.336 0.748 Te
0.664 0.000 0.748 Te
0.664 0.664 0.252 Te
```

- symmetry = P-31m
- DOS at the Fermi energy (states/eV per atom) = 0.1847
- size of the total moment (μB per formula unit) = 0.00

Of them, (P) has the lowest stability.

(P)
The following is a PBE calculation of a geometry-optimized HfZrTe3 structure, from Alexandria.

Geometry as POSCAR:
```
HfZrTe3
1.0
5.982 0.000 0.000
0.000 3.926 0.000
-2.833 0.000 6.728
Hf Zr Te
1 1 3
direct
0.000 0.000 0.000 Hf
0.550 0.500 0.693 Zr
0.063 0.500 0.729 Te
0.387 0.000 0.384 Te
0.750 0.500 0.124 Te
```

- symmetry = Pm
- DOS at the Fermi energy (states/eV per atom) = 0.4068
- size of the total moment (μB per formula unit) = 0.00

(Q)
The following is a PBE calculation of a geometry-optimized HfZrTe3 structure, from Alexandria.

Geometry as POSCAR:
```
HfZrTe3
1.0
7.286 0.000 0.000
0.000 3.976 0.000
-2.568 0.000 9.820
Hf Zr Te
2 2 6
direct
0.212 0.250 0.006 Hf
0.788 0.750 0.994 Hf
0.374 0.250 0.348 Zr
0.626 0.750 0.652 Zr
0.027 0.750 0.811 Te
0.234 0.750 0.506 Te
0.483 0.750 0.158 Te
0.517 0.250 0.842 Te
0.766 0.250 0.494 Te
0.973 0.250 0.189 Te
```

- symmetry = P2_1/m
- DOS at the Fermi energy (states/eV per atom) = 0.4878
- size of the total moment (μB per formula unit) = 0.00

(R)
The following is a PBE calculation of a geometry-optimized HfZrTe3 structure, from Alexandria.

Geometry as POSCAR:
```
HfZrTe3
1.0
5.487 0.000 0.000
0.000 5.487 0.000
0.000 0.000 5.487
Hf Zr Te
1 1 3
direct
0.000 0.000 0.000 Hf
0.500 0.500 0.500 Zr
0.000 0.000 0.500 Te
0.000 0.500 0.000 Te
0.500 0.000 0.000 Te
```

- symmetry = Pm-3m
- DOS at the Fermi energy (states/eV per atom) = 0.8835
- size of the total moment (μB per formula unit) = 1.90

Of them, (R) has the lowest stability.

(P)
The following is a PBE calculation of a geometry-optimized HfTh3 structure, from Alexandria.

Geometry as POSCAR:
```
HfTh3
1.0
4.920 0.000 0.000
0.000 4.920 0.000
0.000 0.000 4.920
Hf Th
1 3
direct
0.000 0.000 0.000 Hf
0.000 0.500 0.500 Th
0.500 0.000 0.500 Th
0.500 0.500 0.000 Th
```

- symmetry = Pm-3m
- DOS at the Fermi energy (states/eV per atom) = 1.5271
- size of the total moment (μB per formula unit) = 0.00

(Q)
The following is a PBE calculation of a geometry-optimized HfTh3 structure, from Alexandria.

Geometry as POSCAR:
```
HfTh3
1.0
3.339 0.000 0.000
0.000 3.358 0.000
0.000 0.000 10.934
Hf Th
1 3
direct
0.000 0.000 0.000 Hf
0.000 0.500 0.260 Th
0.500 0.000 0.507 Th
0.500 0.500 0.784 Th
```

- symmetry = Pmm2
- DOS at the Fermi energy (states/eV per atom) = 1.5465
- size of the total moment (μB per formula unit) = 0.00

Of them, (Q) has the lowest stability.